No. 1
Material: K2SrAgCl6
Method: DFT, PBE-GGA
State: optimized geometry

Values from the calculation:
SG: P1
Total magnetic moment (μB per cell): 1.00
Raw formation energy (eV/atom): -1.594

```
10
Lattice="7.332 0.000 0.000 -0.009 7.348 0.000 -3.651 -3.203 5.831" Properties=species:S:1:pos:R:3 pbc="T T T"
K 0.000 0.000 0.000
K 0.009 0.113 5.631
Sr 0.216 3.731 2.816
Ag 3.846 0.056 2.811
Cl -1.765 -1.612 3.549
Cl 0.529 4.311 0.062
Cl 2.073 1.593 1.993
Cl 0.530 3.155 5.572
Cl 2.089 -1.487 3.645
Cl 5.553 1.736 2.069
```

***

No. 2
Material: Pr2Np2Pd15
Method: DFT, PBE-GGA
State: optimized geometry

Values from the calculation:
SG: R-3m
Total magnetic moment (μB per cell): 3.08
Formation enthalpy at 0 K (eV per atom): -0.43

```
19
Lattice="4.622 2.668 4.692 -4.622 2.668 4.692 0.000 -5.336 4.692" Properties=species:S:1:pos:R:3 pbc="T T T"
Pr 0.000 0.000 2.059
Pr 0.000 0.000 12.018
Np 0.000 0.000 5.885
Np 0.000 0.000 8.193
Pd -2.311 -1.334 4.692
Pd 0.000 -2.669 4.591
Pd -2.312 1.335 4.591
Pd -1.468 -2.542 7.039
Pd -2.935 0.000 7.039
Pd -2.312 -1.335 9.487
Pd -2.311 1.334 9.385
Pd 1.468 -2.542 7.039
Pd 0.000 2.668 4.692
Pd -1.468 2.542 7.039
Pd 2.312 1.335 4.591
Pd 2.935 0.000 7.039
Pd 1.468 2.542 7.039
Pd 2.312 -1.335 9.487
Pd 0.000 2.669 9.487
```

***

No. 3
Material: TmBe9Rh2
Method: DFT, PBE-GGA
State: optimized geometry

Values from the calculation:
SG: P6_3/mmc
Total magnetic moment (μB per cell): 0.00
Formation enthalpy at 0 K (eV per atom): -0.36

```
24
Lattice="4.456 0.000 0.000 -2.228 3.859 0.000 0.000 0.000 14.201" Properties=species:S:1:pos:R:3 pbc="T T T"
Tm 0.000 2.573 3.550
Tm 2.228 1.286 10.650
Be 0.000 0.000 0.000
Be 0.000 0.000 3.550
Be 0.000 0.000 7.100
Be 0.000 0.000 10.650
Be 0.000 1.310 8.771
Be 0.000 1.310 12.530
Be -1.094 3.204 8.771
Be -1.094 3.204 12.530
Be 0.000 2.573 10.650
Be 1.134 0.655 1.670
Be 1.134 0.655 5.430
Be 1.094 3.204 8.771
Be 1.094 3.204 12.530
Be 2.228 1.286 3.550
Be 3.321 0.655 1.670
Be 3.321 0.655 5.430
Be 2.228 2.549 1.670
Be 2.228 2.549 5.430
Rh 0.000 2.573 0.574
Rh 0.000 2.573 6.526
Rh 2.228 1.286 7.675
Rh 2.228 1.286 13.626
```

***

No. 4
Material: ZnReSi2
Method: DFT, PBE-GGA
State: optimized geometry

Values from the calculation:
SG: Amm2
Total magnetic moment (μB per cell): 0.00
Raw formation energy (eV/atom): 0.106

```
4
Lattice="4.171 0.000 0.000 0.000 1.581 4.538 0.000 -1.581 4.538" Properties=species:S:1:pos:R:3 pbc="T T T"
Zn 0.000 0.000 0.000
Re 2.085 0.000 5.434
Si 0.000 0.000 6.659
Si 2.085 0.000 2.860
```

***

No. 5
Material: SrYAlO4
Method: DFT, PBE-GGA
State: optimized geometry

Values from the calculation:
SG: P2_1/m
Total magnetic moment (μB per cell): 0.00
Raw formation energy (eV/atom): -3.091

```
14
Lattice="5.623 0.000 0.000 0.000 5.736 0.000 -2.103 0.000 6.492" Properties=species:S:1:pos:R:3 pbc="T T T"
Sr 0.278 1.434 2.800
Sr 3.242 4.302 3.692
Y -0.309 1.434 6.243
Y 3.829 4.302 0.249
Al 0.976 4.302 1.159
Al 2.544 1.434 5.333
O -1.739 4.302 6.004
O -0.468 4.302 2.171
O 2.145 2.970 1.392
O 2.145 5.634 1.392
O 1.375 0.102 5.100
O 1.375 2.766 5.100
O 3.988 1.434 4.321
O 5.259 1.434 0.488
```

***

No. 6
Material: Fe2AgAu
Method: DFT, PBE-GGA
State: optimized geometry

Values from the calculation:
SG: Imm2
Total magnetic moment (μB per cell): 5.57
Formation enthalpy at 0 K (eV per atom): 0.26

```
4
Lattice="-1.530 2.251 4.394 1.530 -2.251 4.394 1.530 2.251 -4.394" Properties=species:S:1:pos:R:3 pbc="T T T"
Fe 0.000 0.000 0.000
Fe 0.000 2.251 2.572
Ag 1.530 0.000 2.286
Au 0.000 0.000 4.708
```

***

No. 7
Material: KZn2AsW
Method: DFT, PBE-GGA
State: optimized geometry

Values from the calculation:
Offset from the most stable computed form (eV/atom): 1.400
SG: P4/mmm
Total magnetic moment (μB per cell): 0.00
Formation enthalpy at 0 K (eV per atom): 2.34

```
5
Lattice="4.845 0.000 0.000 0.000 4.845 0.000 0.000 0.000 5.181" Properties=species:S:1:pos:R:3 pbc="T T T"
K 0.000 0.000 0.000
Zn 0.000 2.423 0.000
Zn 2.423 0.000 0.000
As 0.000 0.000 2.591
W 2.423 2.423 2.591
```

***

No. 8
Material: LaTaH2Cl
Method: DFT, PBE-GGA
State: optimized geometry

Values from the calculation:
E (eV per atom): -5.28
SG: P4/mmm
Total magnetic moment (μB per cell): 0.00

```
5
Lattice="3.942 0.000 0.000 0.000 3.942 0.000 0.000 0.000 4.836" Properties=species:S:1:pos:R:3 pbc="T T T"
La 0.000 0.000 0.000
Ta 1.971 1.971 2.418
H 0.000 1.971 2.418
H 1.971 0.000 2.418
Cl 1.971 1.971 0.000
```